Record 1
## LuTh2Np (PBE)

Data for a relaxed structure of LuTh2Np.

Cell: 5.462 5.462 5.532 Å, 60.42 60.42 60.00°
Site moments in Bohr magnetons follow the coordinates.
Sites, in units of the cell vectors:
Lu: 0.000 0.000 0.000  0.00
Np: 0.500 0.500 0.500  4.05
Th: 0.758 0.758 0.727  0.23
Th: 0.242 0.242 0.273  0.23

Results
**ΔE_f**: 0.3693 eV/atom
**Magnetization**: 5.173 μB/f.u.
**Total energy**: -30.8 eV/cell
**Excess energy over the best structure of this formula in the dataset**: 120 meV/atom
**SG**: R-3m, No. 166


Record 2
## LuTh2Np (PBE)

Data for a relaxed structure of LuTh2Np.

Cell: 3.484 3.484 9.605 Å, 90.00 90.00 90.00°
Site moments in Bohr magnetons follow the coordinates.
Sites, in units of the cell vectors:
Th: 0.000 0.000 0.238  -0.02
Th: 0.000 0.000 0.762  -0.02
Np: 0.500 0.500 0.000  3.65
Lu: 0.500 0.500 0.500  -0.14

Results
**ΔE_f**: 0.2492 eV/atom
**Magnetization**: 3.585 μB/f.u.
**Total energy**: -31.3 eV/cell
**Excess energy over the best structure of this formula in the dataset**: 0 meV/atom
**SG**: P4/mmm, No. 123


Record 3
## LuNpTl2 (PBE)

Data for a relaxed structure of LuNpTl2.

Cell: 4.294 4.996 4.996 Å, 90.00 90.00 90.00°
Site moments in Bohr magnetons follow the coordinates.
Sites, in units of the cell vectors:
Np: 0.500 0.000 0.000  4.16
Lu: 0.500 0.500 0.500  0.23
Tl: 0.000 0.000 0.500  0.00
Tl: 0.000 0.500 0.000  0.00

Results
**ΔE_f**: 0.1238 eV/atom
**Magnetization**: 4.889 μB/f.u.
**Total energy**: -21.7 eV/cell
**SG**: P4/mmm, No. 123


Record 4
## Lu2NpZn (PBE)

Data for a relaxed structure of Lu2NpZn.

Cell: 3.315 3.315 8.770 Å, 90.00 90.00 90.00°
Site moments in Bohr magnetons follow the coordinates.
Sites, in units of the cell vectors:
Lu: 0.000 0.000 0.717  -0.10
Lu: 0.000 0.000 0.283  -0.10
Zn: 0.500 0.500 0.500  0.00
Np: 0.500 0.500 0.000  -3.98

Results
**ΔE_f**: 0.0939 eV/atom
**Magnetization**: 4.550 μB/f.u.
**Total energy**: -22.9 eV/cell
**SG**: P4/mmm, No. 123


Record 5
## LuNpZn4 (PBE)

Data for a relaxed structure of LuNpZn4.

Cell: 5.415 5.415 5.415 Å, 60.00 60.00 60.00°
Site moments in Bohr magnetons follow the coordinates.
Sites, in units of the cell vectors:
Zn: 0.625 0.625 0.625  -0.01
Zn: 0.625 0.125 0.625  -0.01
Zn: 0.125 0.625 0.625  -0.01
Zn: 0.625 0.625 0.125  -0.01
Lu: 0.250 0.250 0.250  0.09
Np: 0.000 0.000 0.000  3.85

Results
**ΔE_f**: -0.0773 eV/atom
**Magnetization**: 4.043 μB/f.u.
**Total energy**: -23.0 eV/cell
**SG**: F-43m, No. 216


Record 6
## LuZrNp (PBE)

Data for a relaxed structure of LuZrNp.

Cell: 3.119 5.231 5.231 Å, 120.00 90.00 90.00°
Site moments in Bohr magnetons follow the coordinates.
Sites, in units of the cell vectors:
Zr: 0.166 0.000 0.000  -0.26
Np: 0.167 0.333 0.667  3.74
Lu: 0.667 0.667 0.333  -0.01

Results
**ΔE_f**: 0.3231 eV/atom
**Magnetization**: 3.542 μB/f.u.
**Total energy**: -25.0 eV/cell
**SG**: P-6m2, No. 187


Record 7
## LuZr2Np (PBE)

Data for a relaxed structure of LuZr2Np.

Cell: 3.741 3.741 7.031 Å, 90.00 90.00 90.00°
Site moments in Bohr magnetons follow the coordinates.
Sites, in units of the cell vectors:
Zr: 0.000 0.000 0.213  0.04
Zr: 0.000 0.000 0.787  0.04
Lu: 0.500 0.500 0.500  -0.10
Np: 0.500 0.500 0.000  3.46

Results
**ΔE_f**: 0.2954 eV/atom
**Magnetization**: 3.606 μB/f.u.
**Total energy**: -33.4 eV/cell
**Excess energy over the best structure of this formula in the dataset**: 0 meV/atom
**SG**: P4/mmm, No. 123


Record 8
## LuZr2Np (PBE)

Data for a relaxed structure of LuZr2Np.

Cell: 5.057 5.057 5.376 Å, 61.95 61.95 60.00°
Site moments in Bohr magnetons follow the coordinates.
Sites, in units of the cell vectors:
Zr: 0.728 0.728 0.816  -0.10
Zr: 0.272 0.272 0.184  -0.10
Np: 0.000 0.000 0.000  -3.69
Lu: 0.500 0.500 0.500  0.00

Results
**ΔE_f**: 0.3843 eV/atom
**Magnetization**: 4.222 μB/f.u.
**Total energy**: -33.0 eV/cell
**Excess energy over the best structure of this formula in the dataset**: 89 meV/atom
**SG**: R-3m, No. 166


Record 9
## Lu3O (PBE)

Data for a relaxed structure of Lu3O.

Cell: 3.197 5.672 5.810 Å, 119.22 105.97 90.00°
Sites, in units of the cell vectors:
Lu: 0.328 0.695 0.655
Lu: 0.672 0.039 0.345
Lu: 0.500 0.358 0.000
O: 0.000 0.074 0.000

Results
**Magnetization**: 0.000 μB/f.u.
**Total energy**: -22.9 eV/cell
**Formation energy (no corrections)**: -1.105 eV/atom
**SG**: Imm2, No. 44


Record 10
## LuO2 (PBE)

Data for a relaxed structure of LuO2.

Cell: 3.539 4.128 6.037 Å, 71.16 90.00 90.00°
Site moments in Bohr magnetons follow the coordinates.
Sites, in units of the cell vectors:
O: 0.250 0.814 0.557  -0.79
O: 0.750 0.270 0.949  -0.05
O: 0.250 0.730 0.051  -0.05
O: 0.750 0.186 0.443  -0.79
Lu: 0.250 0.165 0.184  0.01
Lu: 0.750 0.835 0.816  0.01

Results
**Magnetization**: 0.997 μB/f.u.
**Total energy**: -45.5 eV/cell
**Formation energy (no corrections)**: -2.778 eV/atom
**SG**: P2_1/m, No. 11


Record 11
## Lu2O3 (PBE)

Data for a relaxed structure of Lu2O3.

Cell: 7.092 7.092 8.415 Å, 79.89 79.89 27.65°
Sites, in units of the cell vectors:
O: 0.826 0.826 0.968
O: 0.127 0.127 0.719
O: 0.531 0.531 0.342
O: 0.208 0.208 0.378
O: 0.500 0.500 0.000
O: 0.469 0.469 0.658
O: 0.792 0.792 0.622
O: 0.873 0.873 0.281
O: 0.174 0.174 0.032
Lu: 0.308 0.308 0.137
Lu: 0.635 0.635 0.513
Lu: 0.968 0.968 0.815
Lu: 0.692 0.692 0.863
Lu: 0.365 0.365 0.487
Lu: 0.032 0.032 0.185

Results
**Magnetization**: 0.000 μB/f.u.
**Total energy**: -126.5 eV/cell
**Formation energy (no corrections)**: -3.648 eV/atom
**SG**: C2/m, No. 12


Record 12
## LuO (PBE)

Data for a relaxed structure of LuO.

Cell: 3.164 3.164 6.222 Å, 90.00 90.28 90.00°
Sites, in units of the cell vectors:
O: 0.251 0.250 0.142
O: 0.749 0.750 0.858
Lu: 0.248 0.250 0.776
Lu: 0.752 0.750 0.224

Results
**Magnetization**: 0.000 μB/f.u.
**Total energy**: -30.3 eV/cell
**Formation energy (no corrections)**: -2.847 eV/atom
**SG**: P2_1/m, No. 11


Record 13
## Lu2O3 (PBE)

Data for a relaxed structure of Lu2O3.

Cell: 8.975 8.975 8.975 Å, 109.47 109.47 109.47°
Sites, in units of the cell vectors:
O: 0.271 0.739 0.228
O: 0.456 0.467 0.229
O: 0.967 0.511 0.239
O: 0.544 0.533 0.771
O: 0.011 0.044 0.272
O: 0.272 0.011 0.044
O: 0.489 0.761 0.033
O: 0.467 0.229 0.456
O: 0.761 0.033 0.489
O: 0.511 0.239 0.967
O: 0.033 0.489 0.761
O: 0.229 0.456 0.467
O: 0.739 0.228 0.271
O: 0.239 0.967 0.511
O: 0.228 0.271 0.739
O: 0.729 0.261 0.772
O: 0.044 0.272 0.011
O: 0.261 0.772 0.729
O: 0.772 0.729 0.261
O: 0.771 0.544 0.533
O: 0.533 0.771 0.544
O: 0.956 0.728 0.989
O: 0.989 0.956 0.728
O: 0.728 0.989 0.956
Lu: 0.250 0.217 0.967
Lu: 0.250 0.717 0.467
Lu: 0.467 0.250 0.717
Lu: 0.967 0.250 0.217
Lu: 0.750 0.783 0.033
Lu: 0.033 0.750 0.783
Lu: 0.000 0.000 0.500
Lu: 0.283 0.533 0.750
Lu: 0.533 0.750 0.283
Lu: 0.717 0.467 0.250
Lu: 0.500 0.500 0.500
Lu: 0.500 0.000 0.000
Lu: 0.750 0.283 0.533
Lu: 0.000 0.500 0.000
Lu: 0.217 0.967 0.250
Lu: 0.783 0.033 0.750

Results
**Magnetization**: 0.000 μB/f.u.
**Total energy**: -339.5 eV/cell
**Formation energy (no corrections)**: -3.705 eV/atom
**SG**: Ia-3, No. 206


Record 14
## Lu2O3 (PBE)

Data for a relaxed structure of Lu2O3.

Cell: 3.567 3.567 5.767 Å, 90.00 90.00 120.00°
Sites, in units of the cell vectors:
O: 0.000 0.000 0.000
O: 0.333 0.667 0.646
O: 0.667 0.333 0.354
Lu: 0.333 0.667 0.250
Lu: 0.667 0.333 0.750

Results
**Magnetization**: 0.000 μB/f.u.
**Total energy**: -42.0 eV/cell
**Formation energy (no corrections)**: -3.613 eV/atom
**SG**: P-3m1, No. 164


Record 15
## Lu3O (PBE)

Data for a relaxed structure of Lu3O.

Cell: 3.547 3.547 8.309 Å, 90.00 90.00 90.00°
Sites, in units of the cell vectors:
Lu: 0.500 0.500 0.792
Lu: 0.500 0.000 0.439
Lu: 0.000 0.500 0.145
O: 0.000 0.000 0.292

Results
**Magnetization**: 0.052 μB/f.u.
**Total energy**: -23.6 eV/cell
**Formation energy (no corrections)**: -1.275 eV/atom
**SG**: P-4m2, No. 115


Record 16
## Lu2P4O13 (PBE)

Data for a relaxed structure of Lu2P4O13.

Cell: 6.869 6.869 12.842 Å, 74.64 74.64 58.75°
Sites, in units of the cell vectors:
O: 0.872 0.903 0.396
O: 0.691 0.704 0.281
O: 0.076 0.449 0.404
O: 0.128 0.097 0.604
O: 0.097 0.128 0.104
O: 0.073 0.123 0.348
O: 0.704 0.691 0.781
O: 0.551 0.924 0.096
O: 0.924 0.551 0.596
O: 0.739 0.261 0.250
O: 0.903 0.872 0.896
O: 0.296 0.309 0.219
O: 0.420 0.077 0.404
O: 0.923 0.580 0.096
O: 0.309 0.296 0.719
O: 0.261 0.739 0.750
O: 0.077 0.420 0.904
O: 0.580 0.923 0.596
O: 0.449 0.076 0.904
O: 0.927 0.877 0.652
O: 0.652 0.317 0.445
O: 0.348 0.683 0.555
O: 0.683 0.348 0.055
O: 0.317 0.652 0.945
O: 0.123 0.073 0.848
O: 0.877 0.927 0.152
P: 0.148 0.825 0.867
P: 0.852 0.175 0.133
P: 0.778 0.752 0.661
P: 0.248 0.222 0.839
P: 0.175 0.852 0.633
P: 0.222 0.248 0.339
P: 0.825 0.148 0.367
P: 0.752 0.778 0.161
Lu: 0.296 0.308 0.050
Lu: 0.704 0.692 0.950
Lu: 0.692 0.704 0.450
Lu: 0.308 0.296 0.550

Results
**Magnetization**: 0.000 μB/f.u.
**Total energy**: -291.1 eV/cell
**Formation energy (no corrections)**: -2.653 eV/atom
**SG**: C2/c, No. 15


Record 17
## LuPO2 (PBE)

Data for a relaxed structure of LuPO2.

Cell: 7.114 7.114 7.114 Å, 127.79 127.79 76.96°
Sites, in units of the cell vectors:
O: 0.580 0.335 0.755
O: 0.575 0.830 0.745
O: 0.580 0.825 0.245
O: 0.175 0.420 0.755
O: 0.085 0.830 0.255
O: 0.170 0.425 0.255
O: 0.170 0.915 0.745
O: 0.665 0.420 0.245
Lu: 0.375 0.625 0.750
Lu: 0.875 0.625 0.250
Lu: 0.375 0.625 0.250
Lu: 0.375 0.125 0.750
P: 0.875 0.125 0.250
P: 0.875 0.125 0.750
P: 0.375 0.125 0.250
P: 0.875 0.625 0.750

Results
**Magnetization**: 0.001 μB/f.u.
**Total energy**: -105.4 eV/cell
**Formation energy (no corrections)**: -1.628 eV/atom
**SG**: I4_1/amd, No. 141


Record 18
## LuP5O14 (PBE)

Data for a relaxed structure of LuP5O14.

Cell: 8.745 9.286 12.591 Å, 90.00 90.00 90.00°
Site moments in Bohr magnetons follow the coordinates.
Sites, in units of the cell vectors:
O: 0.523 0.924 0.652  0.00
O: 0.977 0.424 0.348  0.00
O: 0.885 0.319 0.510  0.00
O: 0.023 0.576 0.848  0.00
O: 0.043 0.651 0.250  0.06
O: 0.836 0.659 0.978  0.00
O: 0.332 0.392 0.636  0.00
O: 0.664 0.159 0.022  0.00
O: 0.734 0.067 0.250  0.03
O: 0.668 0.608 0.364  0.00
O: 0.957 0.349 0.750  0.06
O: 0.234 0.433 0.250  0.03
O: 0.343 0.662 0.372  0.00
O: 0.990 0.850 0.630  0.00
O: 0.336 0.841 0.522  0.00
O: 0.615 0.819 0.010  0.00
O: 0.615 0.819 0.490  0.00
O: 0.010 0.150 0.130  0.00
O: 0.843 0.838 0.128  0.00
O: 0.832 0.108 0.864  0.00
O: 0.168 0.892 0.364  0.00
O: 0.343 0.662 0.128  0.00
O: 0.885 0.319 0.990  0.00
O: 0.457 0.151 0.750  0.06
O: 0.157 0.162 0.872  0.00
O: 0.766 0.567 0.750  0.03
O: 0.510 0.350 0.370  0.00
O: 0.657 0.338 0.872  0.00
O: 0.168 0.892 0.136  0.00
O: 0.843 0.838 0.372  0.00
O: 0.977 0.424 0.152  0.00
O: 0.490 0.650 0.870  0.00
O: 0.477 0.076 0.348  0.00
O: 0.523 0.924 0.848  0.00
O: 0.336 0.841 0.978  0.00
O: 0.157 0.162 0.628  0.00
O: 0.115 0.681 0.010  0.00
O: 0.164 0.341 0.022  0.00
O: 0.543 0.849 0.250  0.06
O: 0.990 0.850 0.870  0.00
O: 0.477 0.076 0.152  0.00
O: 0.010 0.150 0.370  0.00
O: 0.832 0.108 0.636  0.00
O: 0.510 0.350 0.130  0.00
O: 0.836 0.659 0.522  0.00
O: 0.385 0.181 0.990  0.00
O: 0.657 0.338 0.628  0.00
O: 0.115 0.681 0.490  0.00
O: 0.266 0.933 0.750  0.03
O: 0.664 0.159 0.478  0.00
O: 0.490 0.650 0.630  0.00
O: 0.385 0.181 0.510  0.00
O: 0.164 0.341 0.478  0.00
O: 0.023 0.576 0.652  0.00
O: 0.332 0.392 0.864  0.00
O: 0.668 0.608 0.136  0.00
P: 0.076 0.495 0.250  0.00
P: 0.242 0.772 0.077  0.00
P: 0.258 0.272 0.577  0.00
P: 0.490 0.792 0.578  0.00
P: 0.990 0.708 0.578  0.00
P: 0.258 0.272 0.923  0.00
P: 0.742 0.728 0.423  0.00
P: 0.924 0.505 0.750  0.00
P: 0.510 0.208 0.422  0.00
P: 0.490 0.792 0.922  0.00
P: 0.742 0.728 0.077  0.00
P: 0.510 0.208 0.078  0.00
P: 0.758 0.228 0.577  0.00
P: 0.990 0.708 0.922  0.00
P: 0.010 0.292 0.422  0.00
P: 0.424 0.995 0.750  0.00
P: 0.576 0.005 0.250  0.00
P: 0.758 0.228 0.923  0.00
P: 0.010 0.292 0.078  0.00
P: 0.242 0.772 0.423  0.00
Lu: 0.477 0.546 0.250  0.00
Lu: 0.977 0.954 0.250  0.00
Lu: 0.523 0.454 0.750  0.00
Lu: 0.023 0.046 0.750  0.00

Results
**Magnetization**: 0.138 μB/f.u.
**Total energy**: -590.2 eV/cell
**Formation energy (no corrections)**: -2.328 eV/atom
**Excess energy over the best structure of this formula in the dataset**: 11 meV/atom
**SG**: Pnma, No. 62